No. 1
Density functional theory data (PBE-GGA) for crystalline Sc5PaC4 at its relaxed geometry.

Unit cell a=14.7910 b=3.4079 c=6.8448 alpha=90.00 beta=103.04 gamma=90.00
With the nearest neighbours (Å) after each atom.
Space group C2/m (No. 12)
One atom of each set of equivalent atoms:
Sc: 0.0000 0.0000 0.0000 x2  4 C 2.38
Sc: 0.1641 0.5000 0.8151 x4  3 C 2.31-2.32
Sc: 0.1699 0.5000 0.3546 x4  4 C 2.31-2.51
Pa: 0.0000 0.0000 0.5000 x2  6 C 2.45
C: 0.0035 0.5000 0.7590 x4  4 Sc 2.32-2.51, 2 Pa 2.45
C: 0.1700 0.0000 0.5909 x4  5 Sc 2.31-2.35, 1 Pa 2.45

Results
Theoretical density = 5.0 g/cm3
Magnetization = 0.042 μB per atom

=====

No. 2
Density functional theory data (PBE-GGA) for crystalline ScPa3C4 at its relaxed geometry.

Unit cell a=5.0106 b=5.0106 c=5.0106 alpha=90.00 beta=90.00 gamma=90.00
With the nearest neighbours (Å) after each atom.
Space group Pm-3m (No. 221)
One atom of each set of equivalent atoms:
Sc: 0.0000 0.0000 0.0000 x1  6 C 2.51
Pa: 0.0000 0.5000 0.5000 x3  6 C 2.51
C: 0.0000 0.0000 0.5000 x3  4 Pa 2.51, 2 Sc 2.51
C: 0.5000 0.5000 0.5000 x1  6 Pa 2.51

Results
Theoretical density = 10.4 g/cm3
Magnetization = 0.000 μB per atom

=====

No. 3
Density functional theory data (PBE-GGA) for crystalline ScPa2C3 at its relaxed geometry.

Unit cell a=3.5753 b=4.9590 c=10.5767 alpha=90.00 beta=90.00 gamma=90.00
With the nearest neighbours (Å) after each atom.
Space group Immm (No. 71)
One atom of each set of equivalent atoms:
Sc: 0.0000 0.0000 0.0000 x2  6 C 2.48-2.54
Pa: 0.0000 0.0000 0.3351 x4  6 C 2.48-2.50
C: 0.0000 0.5000 0.0000 x2  2 Sc 2.48, 4 Pa 2.50
C: 0.0000 0.5000 0.3294 x4  4 Pa 2.48-2.49, 2 Sc 2.54

Results
Theoretical density = 9.6 g/cm3
Magnetization = 0.000 μB per atom

=====

No. 4
Density functional theory data (PBE-GGA) for crystalline Sc2Pa2C3 at its relaxed geometry.

Unit cell a=11.8482 b=3.5051 c=5.8981 alpha=90.00 beta=104.16 gamma=90.00
With the nearest neighbours (Å) after each atom.
Space group C2/m (No. 12)
One atom of each set of equivalent atoms:
Sc: 0.1445 0.0000 0.3564 x4  4 C 2.36-2.38
Pa: 0.1200 0.5000 0.8624 x4  5 C 2.40-2.51
C: 0.0000 0.0000 0.0000 x2  2 Sc 2.36, 4 Pa 2.51
C: 0.2477 0.0000 0.7567 x4  3 Sc 2.36-2.38, 3 Pa 2.40-2.49

Results
Theoretical density = 8.2 g/cm3
Magnetization = 0.074 μB per atom

=====

Calculated values (eV/atom) of energy of formation from the pure elements for the records, taken in order: -0.44, -0.44, -0.45, -0.43.